No. 1
Material: Pu2MnCu3
Method: DFT, GGA-PBE
State: relaxed

Cell: 5.086 5.086 5.325 Å, 90.25 118.50 119.73°
Element x y z (fractional)
Cu 0.500 0.000 0.500
Cu 0.500 0.500 0.500
Cu 0.000 0.000 0.500
Pu 0.738 0.369 0.107
Pu 0.262 0.631 0.893
Mn 0.000 0.000 0.000

magnetization: 9.07 μB per formula unit
D(E_F): 11.81 states/eV per cell
symmetry: C2/m (12)
energy relative to the elements: -0.038 eV/atom
VASP energy: -8.392 eV per atom

No. 2
Material: Pu3Mn2Cu7
Method: DFT, GGA-PBE
State: relaxed

Cell: 5.081 5.081 9.076 Å, 73.75 73.75 60.00°
Element x y z (fractional)
Cu 0.083 0.582 0.753
Cu 0.418 0.917 0.247
Cu 0.418 0.418 0.247
Cu 0.917 0.418 0.247
Cu 0.582 0.582 0.753
Cu 0.500 0.500 0.500
Cu 0.582 0.083 0.753
Mn 0.668 0.668 0.996
Mn 0.332 0.332 0.004
Pu 0.855 0.855 0.434
Pu 0.000 0.000 0.000
Pu 0.145 0.145 0.566

magnetization: 10.73 μB per formula unit
D(E_F): 25.52 states/eV per cell
symmetry: R-3m (166)
energy relative to the elements: 0.004 eV/atom
VASP energy: -7.497 eV per atom

No. 3
Material: PuMnCu2
Method: DFT, GGA-PBE
State: relaxed

Cell: 3.529 3.529 5.267 Å, 90.00 90.00 90.00°
Element x y z (fractional)
Pu 0.500 0.500 0.500
Cu 0.000 0.000 0.775
Cu 0.000 0.000 0.225
Mn 0.500 0.500 0.000

magnetization: 2.23 μB per formula unit
D(E_F): 5.75 states/eV per cell
symmetry: P4/mmm (123)
energy relative to the elements: 0.209 eV/atom
VASP energy: -7.714 eV per atom

No. 4
Material: Pu8Mn5Cu
Method: DFT, GGA-PBE
State: relaxed

Cell: 7.176 7.176 7.176 Å, 109.24 109.93 109.24°
Element x y z (fractional)
Mn 0.867 0.886 0.259
Mn 0.741 0.608 0.627
Mn 0.019 0.392 0.133
Mn 0.373 0.114 0.981
Mn 0.500 0.000 0.500
Pu 0.641 0.905 0.882
Pu 0.977 0.095 0.737
Pu 0.764 0.249 0.370
Pu 0.630 0.394 0.879
Pu 0.118 0.760 0.023
Pu 0.263 0.240 0.359
Pu 0.121 0.751 0.515
Pu 0.485 0.606 0.236
Cu 0.250 0.500 0.750

magnetization: 31.27 μB per formula unit
D(E_F): 38.67 states/eV per cell
symmetry: I-4 (82)
energy relative to the elements: 0.174 eV/atom
VASP energy: -11.583 eV per atom